# 1
A plane-wave DFT calculation with SCAN was carried out for a crystal of AlBiPt3 relaxed with PBEsol.

Output
Total energy = -59.268 eV/atom
ΔE_f = 114 meV/atom

a b c (Å): 4.598 4.598 4.598
angles (deg): 90.00 90.00 90.00
Fractional coordinates of all 5 atoms:
Bi  0.500  0.500  0.500
Pt  0.000  0.500  0.000
Pt  0.000  0.000  0.500
Pt  0.500  0.000  0.000
Al  0.000  0.000  0.000



# 2
A plane-wave DFT calculation with SCAN was carried out for a crystal of Al2BiPt2 relaxed with PBEsol.

Output
Total energy = -47.598 eV/atom
ΔE_f = -704 meV/atom

a b c (Å): 2.909 7.692 7.692
angles (deg): 90.00 90.00 90.00
Fractional coordinates of all 10 atoms:
Bi  0.000  0.000  0.000
Bi  0.000  0.500  0.500
Pt  0.000  0.358  0.858
Pt  0.000  0.858  0.642
Pt  0.000  0.642  0.142
Pt  0.000  0.142  0.358
Al  0.500  0.147  0.647
Al  0.500  0.647  0.853
Al  0.500  0.853  0.353
Al  0.500  0.353  0.147



# 3
A plane-wave DFT calculation with SCAN was carried out for a crystal of RbAl2BiW relaxed with PBEsol.

Output
Total energy = -35.635 eV/atom
ΔE_f = 1267 meV/atom

a b c (Å): 5.002 5.002 5.461
angles (deg): 90.00 90.00 90.00
Fractional coordinates of all 5 atoms:
Rb  0.000  0.000  0.500
Bi  0.500  0.500  0.500
W  0.000  0.000  0.000
Al  0.000  0.500  0.000
Al  0.500  0.000  0.000



# 4
A plane-wave DFT calculation with SCAN was carried out for a crystal of AlRe3Bi relaxed with PBEsol.

Output
Total energy = -56.700 eV/atom
ΔE_f = 3225 meV/atom

a b c (Å): 4.896 4.896 4.896
angles (deg): 90.00 90.00 90.00
Fractional coordinates of all 5 atoms:
Re  0.000  0.500  0.000
Re  0.000  0.000  0.500
Re  0.500  0.000  0.000
Bi  0.000  0.000  0.000
Al  0.500  0.500  0.500



# 5
A plane-wave DFT calculation with SCAN was carried out for a crystal of ScAl2BiRh relaxed with PBEsol.

Output
Total energy = -28.535 eV/atom
ΔE_f = -117 meV/atom

a b c (Å): 4.547 4.547 5.625
angles (deg): 90.00 90.00 90.00
Fractional coordinates of all 5 atoms:
Sc  0.500  0.500  0.500
Rh  0.000  0.000  0.000
Bi  0.000  0.000  0.500
Al  0.000  0.500  0.000
Al  0.500  0.000  0.000



# 6
A plane-wave DFT calculation with SCAN was carried out for a crystal of AlBi3Ru relaxed with PBEsol.

Output
Total energy = -54.363 eV/atom
ΔE_f = 1301 meV/atom

a b c (Å): 5.222 5.222 5.222
angles (deg): 90.00 90.00 90.00
Fractional coordinates of all 5 atoms:
Ru  0.500  0.500  0.500
Bi  0.000  0.500  0.000
Bi  0.000  0.000  0.500
Bi  0.500  0.000  0.000
Al  0.000  0.000  0.000



# 7
A plane-wave DFT calculation with SCAN was carried out for a crystal of AlBiTe2Ru relaxed with PBEsol.

Output
Total energy = -37.994 eV/atom
Formation energy from raw total energies = 1.138 eV per atom

a b c (Å): 5.141 5.141 5.215
angles (deg): 90.00 90.00 90.00
Fractional coordinates of all 5 atoms:
Ru  0.500  0.500  0.500
Te  0.000  0.500  0.000
Te  0.500  0.000  0.000
Bi  0.000  0.000  0.500
Al  0.000  0.000  0.000



# 8
A plane-wave DFT calculation with SCAN was carried out for a crystal of AlBiS2 relaxed with PBEsol.

Output
Total energy = -27.245 eV/atom
Formation energy from raw total energies = -0.848 eV per atom

a b c (Å): 3.498 3.498 8.398
angles (deg): 77.98 77.98 60.00
Fractional coordinates of all 4 atoms:
S  0.887  0.887  0.340
S  0.113  0.113  0.660
Bi  0.000  0.000  0.000
Al  0.500  0.500  0.500



# 9
A plane-wave DFT calculation with SCAN was carried out for a crystal of AlBi2S relaxed with PBEsol.

Output
Total energy = -43.316 eV/atom
Formation energy from raw total energies = 0.319 eV per atom

a b c (Å): 5.079 5.079 5.079
angles (deg): 60.00 60.00 60.00
Fractional coordinates of all 4 atoms:
S  0.500  0.500  0.500
Bi  0.250  0.250  0.250
Bi  0.750  0.750  0.750
Al  0.000  0.000  0.000



# 10
A plane-wave DFT calculation with SCAN was carried out for a crystal of Al2BiSb relaxed with PBEsol.

Output
Total energy = -32.905 eV/atom
Formation energy from raw total energies = -0.069 eV per atom

a b c (Å): 6.267 6.267 7.672
angles (deg): 114.11 114.11 90.00
Fractional coordinates of all 8 atoms:
Sb  0.750  0.250  0.500
Sb  0.500  0.500  0.000
Bi  0.250  0.750  0.500
Bi  0.000  0.000  0.000
Al  0.385  0.875  0.250
Al  0.865  0.375  0.250
Al  0.125  0.135  0.750
Al  0.625  0.615  0.750



# 11
A plane-wave DFT calculation with SCAN was carried out for a crystal of Sc3AlBi relaxed with PBEsol.

Output
Total energy = -25.441 eV/atom
ΔE_f = 368 meV/atom

a b c (Å): 5.311 5.311 5.311
angles (deg): 90.00 90.00 90.00
Fractional coordinates of all 5 atoms:
Sc  0.000  0.500  0.000
Sc  0.000  0.000  0.500
Sc  0.500  0.000  0.000
Bi  0.000  0.000  0.000
Al  0.500  0.500  0.500



# 12
A plane-wave DFT calculation with SCAN was carried out for a crystal of YAl2BiSe relaxed with PBEsol.

Output
Total energy = -27.837 eV/atom
Formation energy from raw total energies = 0.564 eV per atom

a b c (Å): 5.292 5.292 5.860
angles (deg): 90.00 90.00 90.00
Fractional coordinates of all 5 atoms:
Y  0.000  0.000  0.500
Bi  0.000  0.000  0.000
Se  0.500  0.500  0.500
Al  0.000  0.500  0.000
Al  0.500  0.000  0.000



# 13
A plane-wave DFT calculation with SCAN was carried out for a crystal of Sr3AlBi relaxed with PBEsol.

Output
Total energy = -30.696 eV/atom
ΔE_f = -65 meV/atom

a b c (Å): 6.237 6.237 6.237
angles (deg): 90.00 90.00 90.00
Fractional coordinates of all 5 atoms:
Sr  0.000  0.500  0.000
Sr  0.000  0.000  0.500
Sr  0.500  0.000  0.000
Bi  0.000  0.000  0.000
Al  0.500  0.500  0.500



# 14
A plane-wave DFT calculation with SCAN was carried out for a crystal of Sr2AlBi2 relaxed with PBEsol.

Output
Total energy = -42.199 eV/atom
ΔE_f = -306 meV/atom

a b c (Å): 3.776 9.468 9.468
angles (deg): 90.00 90.00 90.00
Fractional coordinates of all 10 atoms:
Sr  0.000  0.365  0.865
Sr  0.000  0.865  0.635
Sr  0.000  0.635  0.135
Sr  0.000  0.135  0.365
Bi  0.500  0.167  0.667
Bi  0.500  0.667  0.833
Bi  0.500  0.833  0.333
Bi  0.500  0.333  0.167
Al  0.000  0.000  0.000
Al  0.000  0.500  0.500



# 15
A plane-wave DFT calculation with SCAN was carried out for a crystal of TaAl3Bi relaxed with PBEsol.

Output
Total energy = -31.748 eV/atom
ΔE_f = 1936 meV/atom

a b c (Å): 5.180 5.180 5.180
angles (deg): 90.00 90.00 90.00
Fractional coordinates of all 5 atoms:
Al  0.000  0.500  0.000
Al  0.000  0.000  0.500
Al  0.500  0.000  0.000
Bi  0.000  0.000  0.000
Ta  0.500  0.500  0.500



# 16
A plane-wave DFT calculation with SCAN was carried out for a crystal of TaAl3Bi relaxed with PBEsol.

Output
Total energy = -32.818 eV/atom
ΔE_f = 866 meV/atom

a b c (Å): 5.003 5.003 5.003
angles (deg): 90.00 90.00 90.00
Fractional coordinates of all 5 atoms:
Al  0.000  0.500  0.000
Al  0.000  0.000  0.500
Al  0.500  0.000  0.000
Bi  0.500  0.500  0.500
Ta  0.000  0.000  0.000



# 17
A plane-wave DFT calculation with SCAN was carried out for a crystal of Al3TcBi relaxed with PBEsol.

Output
Total energy = -27.027 eV/atom
ΔE_f = 352 meV/atom

a b c (Å): 4.773 4.773 4.773
angles (deg): 90.00 90.00 90.00
Fractional coordinates of all 5 atoms:
Al  0.000  0.500  0.000
Al  0.000  0.000  0.500
Al  0.500  0.000  0.000
Bi  0.500  0.500  0.500
Tc  0.000  0.000  0.000



# 18
A plane-wave DFT calculation with SCAN was carried out for a crystal of AlTc2Bi relaxed with PBEsol.

Output
Total energy = -38.554 eV/atom
ΔE_f = 559 meV/atom

a b c (Å): 4.107 4.107 9.570
angles (deg): 102.39 102.39 90.00
Fractional coordinates of all 8 atoms:
Al  0.750  0.250  0.500
Al  0.500  0.500  0.000
Bi  0.250  0.750  0.500
Bi  0.000  0.000  0.000
Tc  0.466  0.875  0.250
Tc  0.784  0.375  0.250
Tc  0.125  0.216  0.750
Tc  0.625  0.534  0.750



# 19
A plane-wave DFT calculation with SCAN was carried out for a crystal of ZrAl2TcBi relaxed with PBEsol.

Output
Total energy = -31.799 eV/atom
ΔE_f = 169 meV/atom

a b c (Å): 4.755 4.755 4.996
angles (deg): 90.00 90.00 90.00
Fractional coordinates of all 5 atoms:
Al  0.000  0.500  0.000
Al  0.500  0.000  0.000
Bi  0.500  0.500  0.500
Zr  0.000  0.000  0.500
Tc  0.000  0.000  0.000



# 20
A plane-wave DFT calculation with SCAN was carried out for a crystal of Al2BiTe relaxed with PBEsol.

Output
Total energy = -32.551 eV/atom
Formation energy from raw total energies = 0.282 eV per atom

a b c (Å): 5.110 5.110 5.110
angles (deg): 60.00 60.00 60.00
Fractional coordinates of all 4 atoms:
Te  0.000  0.000  0.000
Bi  0.500  0.500  0.500
Al  0.250  0.250  0.250
Al  0.750  0.750  0.750



# 21
A plane-wave DFT calculation with SCAN was carried out for a crystal of TiAl3Bi relaxed with PBEsol.

Output
Total energy = -22.805 eV/atom
ΔE_f = 768 meV/atom

a b c (Å): 4.958 4.958 4.958
angles (deg): 90.00 90.00 90.00
Fractional coordinates of all 5 atoms:
Bi  0.500  0.500  0.500
Al  0.000  0.500  0.000
Al  0.000  0.000  0.500
Al  0.500  0.000  0.000
Ti  0.000  0.000  0.000



# 22
A plane-wave DFT calculation with SCAN was carried out for a crystal of YAl2Bi relaxed with PBEsol.

Output
Total energy = -30.521 eV/atom
ΔE_f = -39 meV/atom

a b c (Å): 6.081 6.509 6.509
angles (deg): 77.40 62.15 62.15
Fractional coordinates of all 8 atoms:
Y  0.250  0.500  0.500
Y  0.500  0.000  0.000
Bi  0.750  0.500  0.500
Bi  0.000  0.000  0.000
Al  0.107  0.018  0.518
Al  0.643  0.982  0.482
Al  0.375  0.518  0.982
Al  0.875  0.482  0.018



# 23
A plane-wave DFT calculation with SCAN was carried out for a crystal of AlZnBi2 relaxed with PBEsol.

Output
Total energy = -44.280 eV/atom
ΔE_f = 327 meV/atom

a b c (Å): 5.121 5.121 5.121
angles (deg): 60.00 60.00 60.00
Fractional coordinates of all 4 atoms:
Zn  0.500  0.500  0.500
Bi  0.250  0.250  0.250
Bi  0.750  0.750  0.750
Al  0.000  0.000  0.000



# 24
A plane-wave DFT calculation with SCAN was carried out for a crystal of ZrAl2Bi2 relaxed with PBEsol.

Output
Total energy = -40.577 eV/atom
ΔE_f = 95 meV/atom

a b c (Å): 3.800 3.800 8.778
angles (deg): 102.50 102.50 90.00
Fractional coordinates of all 5 atoms:
Bi  0.403  0.403  0.806
Bi  0.597  0.597  0.194
Zr  0.000  0.000  0.000
Al  0.250  0.750  0.500
Al  0.750  0.250  0.500



# 25
A plane-wave DFT calculation with SCAN was carried out for a crystal of Al3Br4 relaxed with PBEsol.

Output
Total energy = -14.408 eV/atom
Formation energy from raw total energies = 0.034 eV per atom

a b c (Å): 5.232 6.077 6.077
angles (deg): 120.00 90.00 90.00
Fractional coordinates of all 7 atoms:
Al  0.000  0.000  0.500
Al  0.000  0.500  0.000
Al  0.000  0.500  0.500
Br  0.747  0.000  0.000
Br  0.253  0.000  0.000
Br  0.500  0.333  0.667
Br  0.500  0.667  0.333



# 26
A plane-wave DFT calculation with SCAN was carried out for a crystal of AlBr relaxed with PBEsol.

Output
Total energy = -13.829 eV/atom
Formation energy from raw total energies = -0.223 eV per atom

a b c (Å): 4.857 4.857 5.096
angles (deg): 90.00 90.00 120.00
Fractional coordinates of all 4 atoms:
Al  0.000  0.000  0.000
Al  0.000  0.000  0.500
Br  0.667  0.333  0.750
Br  0.333  0.667  0.250



# 27
A plane-wave DFT calculation with SCAN was carried out for a crystal of AlBr2 relaxed with PBEsol.

Output
Total energy = -15.752 eV/atom
Formation energy from raw total energies = -0.195 eV per atom

a b c (Å): 4.529 4.529 8.661
angles (deg): 90.00 90.00 120.00
Fractional coordinates of all 6 atoms:
Al  0.333  0.667  0.750
Al  0.667  0.333  0.250
Br  0.000  0.000  0.000
Br  0.000  0.000  0.500
Br  0.667  0.333  0.750
Br  0.333  0.667  0.250



# 28
A plane-wave DFT calculation with SCAN was carried out for a crystal of AlBr relaxed with PBEsol.

Output
Total energy = -13.534 eV/atom
Formation energy from raw total energies = 0.072 eV per atom

a b c (Å): 4.992 4.992 4.992
angles (deg): 70.66 70.66 70.66
Fractional coordinates of all 4 atoms:
Al  0.132  0.132  0.132
Al  0.868  0.868  0.868
Br  0.354  0.354  0.354
Br  0.646  0.646  0.646